NdB4Mo3O12 | PBE with a Hubbard U | optimized geometry

The structure in extended XYZ format:
```
20
Lattice="-4.7433 -2.4757 3.4279 5.1838 -2.1718 2.9649 -0.1115 6.1383 1.6394" Properties=species:S:1:pos:R:3 pbc="T T T"
Nd 0.0000 0.0000 0.0000
B -4.2991 0.6087 4.2242
B 2.2471 4.6185 3.2119
B 2.5454 -2.9911 4.6120
B 0.1645 0.7454 4.0160
Mo -0.2600 -2.3384 3.2188
Mo -2.2033 2.2480 2.4471
Mo 2.7923 1.5813 2.3662
O -0.5716 1.9006 3.8318
O -1.7355 -2.7881 4.7497
O 4.2367 0.8701 3.8261
O -2.0077 4.1543 3.4723
O 3.2512 -1.8198 4.4386
O 0.8746 4.6590 3.3334
O -3.6238 -0.5639 4.4871
O 1.1726 -3.1156 4.6185
O 3.0362 3.4930 3.3156
O -3.7240 1.8196 3.9030
O -0.4794 -0.4520 4.2647
O 1.5444 0.7877 3.9517
```

Summary:
SG: No. 155
Energy, eV/cell: -158.69
M_tot, μB/f.u.: 9.00